# SrTePtO PBE relaxed
# - Size of the total moment: 0.0 μB per cell
# - ΔE to the lowest computed polymorph: 83.1 meV/atom
data_SrTePtO
_chemical_formula_sum 'Sr2 Te2 Pt2 O2'
_cell_length_a 3.7749
_cell_length_b 3.7749
_cell_length_c 12.6226
_cell_angle_alpha 90.00
_cell_angle_beta 90.00
_cell_angle_gamma 90.00
_symmetry_space_group_name_H-M 'P 1'
_symmetry_Int_Tables_number 1
loop_
_symmetry_equiv_pos_as_xyz
'x,y,z'
loop_
_atom_site_label
_atom_site_fract_x
_atom_site_fract_y
_atom_site_fract_z
Sr1 0.2500 0.2500 0.1007
Sr2 0.7500 0.7500 0.8993
Te1 0.2500 0.2500 0.6570
Te2 0.7500 0.7500 0.3430
Pt1 0.2500 0.7500 0.5000
Pt2 0.7500 0.2500 0.5000
O1 0.2500 0.2500 0.9111
O2 0.7500 0.7500 0.0889